[1]
DyTh2 PBE relaxed; energy relative to the lowest polymorph listed for this composition = 0.52 eV/f.u.
1.0
-1.638 0.000 3.017
2.907 -0.918 1.578
3.278 16.499 -0.172
Th Dy
4 2
direct
0.831 0.331 0.663
0.581 0.581 0.163
0.669 0.169 0.337
0.419 0.419 0.837
0.000 0.000 0.000
0.250 0.750 0.500

[2]
This record from Alexandria describes a relaxed Dy7Th crystal. The functional is PBE.

The structure in POSCAR format:
```
Dy7Th
1.0
7.082 0.000 0.000
3.541 6.133 0.000
3.541 2.044 5.782
Dy Th
7 1
direct
0.000 0.500 0.000
0.000 0.500 0.500
0.500 0.500 0.500
0.500 0.000 0.500
0.000 0.000 0.500
0.500 0.000 0.000
0.500 0.500 0.000
0.000 0.000 0.000
```

[3]
This record from Alexandria describes a relaxed Dy6Th crystal. The functional is PBE.

The structure in POSCAR format:
```
Dy6Th
1.0
-4.961 -4.763 -0.027
2.070 1.118 6.462
-2.427 5.853 -2.675
Dy Th
6 1
direct
0.750 0.250 0.500
0.500 0.750 0.250
0.500 0.250 0.750
0.250 0.750 0.500
0.750 0.500 0.250
0.250 0.500 0.750
0.000 0.000 0.000
```

[4]
DyTh2 PBE relaxed; energy relative to the lowest polymorph listed for this composition = 0.00 eV/f.u.
1.0
3.573 0.000 0.000
-1.786 3.094 0.000
0.000 0.000 8.716
Th Dy
2 1
direct
0.667 0.333 0.337
0.333 0.667 0.663
0.000 0.000 0.000

[5]
DyTh PBE relaxed; energy relative to the lowest polymorph listed for this composition = 0.07 eV/f.u.
1.0
-2.987 -3.998 -0.479
6.804 -4.364 -6.118
-0.801 3.115 5.295
Th Dy
2 2
direct
0.250 0.375 0.001
0.750 0.625 0.999
0.750 0.125 0.000
0.250 0.875 0.000

[6]
DyTh8 PBE relaxed; energy relative to the lowest polymorph listed for this composition = 0.00 eV/f.u.
1.0
4.871 0.000 1.275
2.435 7.566 0.637
0.519 0.000 7.957
Th Dy
8 1
direct
0.667 0.333 0.333
0.667 0.000 0.666
0.667 0.666 0.000
0.333 0.334 0.000
0.333 0.000 0.334
0.000 0.667 0.333
0.333 0.667 0.667
0.000 0.333 0.667
0.000 0.000 0.000

| no. | final energy (eV per atom) |
| --- | --- |
| 1 | -6.2799 |
| 2 | -4.9367 |
| 3 | -3.5001 |
| 4 | -6.4547 |
| 5 | -5.9521 |
| 6 | -7.0821 |